# 1
## SrTa3Bi (PBE)

Data for crystalline SrTa3Bi at its relaxed geometry.

Cell lengths 5.0030, 5.0030, 5.0030 Å; angles 90.00, 90.00, 90.00 degrees
With the nearest neighbours (Å) after each atom.
Space group Pm-3m (No. 221)
Asymmetric unit:
Sr 0.0000 0.0000 0.0000 (multiplicity 1)  6 Ta 2.50
Ta 0.0000 0.0000 0.5000 (multiplicity 3)  2 Sr 2.50
Bi 0.5000 0.5000 0.5000 (multiplicity 1)  12 Ta 3.54

DOS(E_F) = 1.293 states/eV per atom
Calculated formation energy = 2.718 eV per atom
Energy relative to the lowest polymorph listed for this composition = 0.821 eV per atom

=====

# 2
## KTa2 (PBE)

Data for crystalline KTa2 at its relaxed geometry.

Cell lengths 3.4922, 3.4922, 13.5626 Å; angles 90.00, 90.00, 90.00 degrees
With the nearest neighbours (Å) after each atom.
Space group I4/mmm (No. 139)
Asymmetric unit:
K 0.0000 0.0000 0.0000 (multiplicity 2)  4 K 3.49, 10 Ta 3.80-3.90
Ta 0.0000 0.0000 0.2874 (multiplicity 4)  4 Ta 2.67

DOS(E_F) = 0.671 states/eV per atom
Calculated formation energy = 1.052 eV per atom
Energy relative to the lowest polymorph listed for this composition = 0.503 eV per atom

=====

# 3
## BaLiGe (PBE)

Data for crystalline BaLiGe at its relaxed geometry.

Cell lengths 4.7948, 4.7948, 14.4233 Å; angles 90.00, 90.00, 90.00 degrees
With the nearest neighbours (Å) after each atom.
Space group I4/mmm (No. 139)
Asymmetric unit:
Ba 0.0000 0.0000 0.1761 (multiplicity 4)  5 Ge 3.33-3.60, 4 Li 3.49
Li 0.0000 0.5000 0.0000 (multiplicity 4)  4 Ge 2.75
Ge 0.0000 0.0000 0.4070 (multiplicity 4)  1 Ge 2.68, 4 Li 2.75

DOS(E_F) = 0.266 states/eV per atom
Calculated formation energy = -0.418 eV per atom

=====

# 4
## LiPmPd4 (PBE)

Data for crystalline LiPmPd4 at its relaxed geometry.

Cell lengths 3.1314, 4.4715, 7.8728 Å; angles 90.00, 90.00, 90.00 degrees
With the nearest neighbours (Å) after each atom.
Space group Pmmm (No. 47)
Asymmetric unit:
Li 0.0000 0.0000 0.0000 (multiplicity 1)  8 Pd 2.59-2.68
Pm 0.5000 0.5000 0.5000 (multiplicity 1)  8 Pd 2.91-2.92, 2 Pm 3.13
Pd 0.0000 0.5000 0.1873 (multiplicity 2)  2 Li 2.68, 5 Pd 2.79-2.95, 2 Pm 2.92
Pd 0.5000 0.0000 0.2626 (multiplicity 2)  2 Li 2.59, 4 Pd 2.79

DOS(E_F) = 0.514 states/eV per atom
Calculated formation energy = -0.348 eV per atom
Energy relative to the lowest polymorph listed for this composition = 0.263 eV per atom